# TbTmSe3

A relaxed structure of TbTmSe3 (GGA-PBE, OQMD). Values from VASP.

Summary:
DFT total energy (eV/cell): -24.0
V (A^3/atom): 30.64
Magnetic moment (μB per formula unit): 0.000
Calculated density (g/cm3): 6.12

```
&SYSTEM
  ibrav = 0, nat = 5, ntyp = 3
/
ATOMIC_SPECIES
Se 78.96 Se.upf
Tb 158.93 Tb.upf
Tm 168.93 Tm.upf
CELL_PARAMETERS angstrom
-2.939 -4.112 1.756
3.880 -3.390 -1.445
2.223 0.479 4.844
ATOMIC_POSITIONS crystal
Se 0.500 0.000 0.000
Se 0.000 0.000 0.500
Tb 0.000 0.000 0.000
Tm 0.500 0.500 0.500
Se 0.000 0.500 0.000
```